An optimized crystal structure of YPPdO, computed with PBE.

The structure in CIF format:
```
data_YPPdO
_space_group_name_H-M_alt 'P 1'
_space_group_IT_number 1
_cell_length_a 4.057
_cell_length_b 4.057
_cell_length_c 7.807
_cell_angle_alpha 90.00
_cell_angle_beta 90.00
_cell_angle_gamma 90.00
loop_
_space_group_symop_operation_xyz
'x,y,z'
loop_
_atom_site_label
_atom_site_type_symbol
_atom_site_fract_x
_atom_site_fract_y
_atom_site_fract_z
Y1 Y 0.500 0.500 0.866
Y2 Y 0.000 0.000 0.134
Pd1 Pd 0.000 0.500 0.500
Pd2 Pd 0.500 0.000 0.500
P1 P 0.000 0.000 0.664
P2 P 0.500 0.500 0.336
O1 O 0.500 0.000 0.000
O2 O 0.000 0.500 0.000
```

Magnetization   0.001 μB/atom
Relative energy among the computed polymorphs   0 meV per atom